No. 1
SrRuBr2 | PBE-GGA | relaxed

The formation energy without anion corrections is 0.4 eV/f.u. The calculation puts the mass density at 5.4 g cm⁻³. The energy above the most stable polymorph in this dataset comes out at 0.667 eV/atom. As for the magnetization: 2.1 μB/cell.

Unit cell a=5.318 b=5.318 c=5.318 alpha=60.00 beta=60.00 gamma=60.00
Fractional coordinates of all 4 atoms:
Ru 0.500 0.500 0.500
Br 0.000 0.000 0.000
Br 0.250 0.250 0.250
Sr 0.750 0.750 0.750

=====

No. 2
SrRuBr2 | PBE-GGA | relaxed

The formation energy without anion corrections is -1.8 eV/f.u. The calculation puts the mass density at 4.8 g cm⁻³. The energy above the most stable polymorph in this dataset comes out at 0.108 eV/atom. As for the magnetization: 0.0 μB/cell.

Unit cell a=8.395 b=8.395 c=8.395 alpha=28.78 beta=28.78 gamma=28.78
Fractional coordinates of all 4 atoms:
Ru 0.520 0.520 0.520
Br 0.017 0.017 0.017
Br 0.205 0.205 0.205
Sr 0.759 0.759 0.759

=====

No. 3
SrRuBr2 | PBE-GGA | relaxed

The formation energy without anion corrections is -1.0 eV/f.u. The calculation puts the mass density at 6.0 g cm⁻³. The energy above the most stable polymorph in this dataset comes out at 0.315 eV/atom. As for the magnetization: 2.3 μB/cell.

Unit cell a=4.978 b=4.984 c=3.893 alpha=90.00 beta=90.00 gamma=90.00
Fractional coordinates of all 4 atoms:
Ru 0.500 0.000 0.500
Br 0.000 0.000 0.000
Br 0.500 0.500 0.000
Sr 0.000 0.500 0.500

=====

No. 4
SrRuBr2 | PBE-GGA | relaxed

The formation energy without anion corrections is -1.7 eV/f.u. The calculation puts the mass density at 5.9 g cm⁻³. The energy above the most stable polymorph in this dataset comes out at 0.145 eV/atom. As for the magnetization: 2.0 μB/cell.

Unit cell a=4.570 b=4.570 c=6.063 alpha=67.84 beta=67.84 gamma=59.62
Fractional coordinates of all 4 atoms:
Ru 0.250 0.250 0.250
Br 0.983 0.983 0.048
Br 0.517 0.517 0.452
Sr 0.750 0.750 0.750

=====

No. 5
SrRuBr2 | PBE-GGA | relaxed

The formation energy without anion corrections is -1.5 eV/f.u. The calculation puts the mass density at 5.1 g cm⁻³. The energy above the most stable polymorph in this dataset comes out at 0.194 eV/atom. As for the magnetization: 1.4 μB/cell.

Unit cell a=8.211 b=8.211 c=8.211 alpha=154.51 beta=151.63 gamma=38.51
Fractional coordinates of all 4 atoms:
Ru 0.482 0.482 0.000
Br 0.980 0.980 0.000
Br 0.720 0.220 0.500
Sr 0.318 0.818 0.500

=====

No. 6
SrRuBr2 | PBE-GGA | relaxed

The formation energy without anion corrections is -0.9 eV/f.u. The calculation puts the mass density at 3.9 g cm⁻³. The energy above the most stable polymorph in this dataset comes out at 0.346 eV/atom. As for the magnetization: 2.0 μB/cell.

Unit cell a=8.336 b=8.336 c=8.336 alpha=32.35 beta=32.35 gamma=32.35
Fractional coordinates of all 4 atoms:
Ru 0.000 0.000 0.000
Br 0.896 0.896 0.896
Br 0.104 0.104 0.104
Sr 0.500 0.500 0.500